Entry 1:
GGA-PBE Pu2PaSb, optimized geometry; space group = P4/mmm; relative energy among the computed polymorphs = 40 meV/atom; DFT total energy = -10.841 eV per atom; formation energy from raw total energies = -0.270 eV per atom; magnetization = 12.15 μB per formula unit
1.0
-2.5010 -2.5386 1.7027
2.9409 -1.3987 2.2345
-1.3631 4.3888 4.5412
Sb Pa Pu
1 1 2
Direct
0.5000 0.5000 0.0000
0.5000 0.5000 0.5000
0.0000 0.0000 0.7576
0.0000 0.0000 0.2424

***

Entry 2:
GGA-PBE Y2AlAuC, optimized geometry; space group = P4/mmm; formation energy from the elements = -512.3 meV/atom; DFT total energy = -6.347 eV per atom; magnetization = 0.00 μB per formula unit
1.0
5.0035 0.0000 0.0000
0.0000 5.0035 0.0000
0.0000 0.0000 3.9054
Y C Au Al
2 1 1 1
Direct
0.0000 0.5000 0.0000
0.5000 0.0000 0.0000
0.0000 0.0000 0.0000
0.5000 0.5000 0.5000
0.0000 0.0000 0.5000

***

Entry 3:
GGA-PBE Ca2CeHoSe4, optimized geometry; space group = P2/m; DFT total energy = -5.412 eV per atom; formation energy from raw total energies = -1.856 eV per atom; magnetization = 1.45 μB per formula unit
1.0
4.1393 0.0000 0.0000
0.0000 7.1787 0.1276
0.0000 -2.5066 6.8631
Ca Ce Ho Se
2 1 1 4
Direct
0.5000 0.0000 0.5000
0.0000 0.5000 0.5000
0.5000 0.5000 0.0000
0.0000 0.0000 0.0000
0.5000 0.2422 0.2471
0.5000 0.7578 0.7529
0.0000 0.2418 0.7470
0.0000 0.7582 0.2530

***

Entry 4:
GGA-PBE CdH2Br, optimized geometry; space group = Fm-3m; relative energy among the computed polymorphs = 1115 meV/atom; DFT total energy = -1.483 eV per atom; magnetization = 0.00 μB per formula unit
1.0
2.9185 -3.0994 0.5583
-1.2649 -4.0022 0.9046
0.4262 -3.1020 -2.9380
H Br Cd
2 1 1
Direct
0.2500 0.2500 0.2500
0.7500 0.7500 0.7500
0.0000 0.0000 0.0000
0.5000 0.5000 0.5000

***

Entry 5:
GGA-PBE GaCo3Sn5, optimized geometry; space group = C2/m; formation energy from the elements = -46.4 meV/atom; DFT total energy = -4.975 eV per atom; magnetization = 0.12 μB per formula unit
1.0
6.9833 -0.2190 0.5434
1.7010 6.7765 0.5434
3.2190 2.4306 8.3302
Ga Co Sn
2 6 10
Direct
0.0848 0.0848 0.6929
0.9152 0.9152 0.3071
0.6607 0.6607 0.8276
0.6960 0.6960 0.3094
0.0000 0.0000 0.0000
0.0000 0.0000 0.5000
0.3393 0.3393 0.1724
0.3040 0.3040 0.6906
0.9549 0.3875 0.3446
0.2818 0.7182 0.0000
0.7679 0.7679 0.0065
0.4372 0.4372 0.3663
0.5628 0.5628 0.6337
0.2321 0.2321 0.9935
0.3875 0.9549 0.3446
0.7182 0.2818 0.0000
0.0451 0.6125 0.6554
0.6125 0.0451 0.6554

***

Entry 6:
GGA-PBE LiMg2Fe, optimized geometry; space group = Imm2; formation energy from the elements = 224.8 meV/atom; DFT total energy = -3.167 eV per atom; magnetization = 2.23 μB per formula unit
1.0
-5.2683 0.5311 1.7849
-3.5974 -4.2234 -0.6664
4.7565 1.9121 2.2232
Fe Li Mg
1 1 2
Direct
0.4962 0.4962 0.0000
0.2681 0.7681 0.5000
0.0046 0.0046 0.0000
0.7310 0.2310 0.5000